Entry 1:
First-principles (GGA-PBE) data for Ti6Al12Zn after structural relaxation, as listed in the Alexandria database.

Values from the calculation:
DOS(E_F) = 0.96 states/eV per atom
ΔH_f (0 K) = 106 meV/atom

Lattice parameters (Å, degrees): 7.5348 7.5348 7.5348 107.75 107.75 107.75
Fractional positions:
Ti (0.2893, 0.6682, 0.6682)
Ti (0.3318, 0.3318, 0.7107)
Ti (0.3318, 0.7107, 0.3318)
Ti (0.6682, 0.2893, 0.6682)
Ti (0.6682, 0.6682, 0.2893)
Ti (0.7107, 0.3318, 0.3318)
Al (0.0904, 0.3185, 0.3185)
Al (0.1113, 0.5000, 0.8887)
Al (0.1113, 0.8887, 0.5000)
Al (0.3185, 0.0904, 0.3185)
Al (0.3185, 0.3185, 0.0904)
Al (0.5000, 0.1113, 0.8887)
Al (0.5000, 0.8887, 0.1113)
Al (0.6815, 0.6815, 0.9096)
Al (0.6815, 0.9096, 0.6815)
Al (0.8887, 0.1113, 0.5000)
Al (0.8887, 0.5000, 0.1113)
Al (0.9096, 0.6815, 0.6815)
Zn (0.0000, 0.0000, 0.0000)

***

Entry 2:
First-principles (GGA-PBE) data for Ti4AlZn2 after structural relaxation, as listed in the Alexandria database.

Values from the calculation:
DOS(E_F) = 0.87 states/eV per atom
ΔH_f (0 K) = -153 meV/atom

Lattice parameters (Å, degrees): 9.4248 4.8387 5.1822 90.00 106.50 90.00
Fractional positions:
Ti (0.0000, 0.2443, 0.0000)
Ti (0.0000, 0.7557, 0.0000)
Ti (0.1717, 0.0000, 0.5754)
Ti (0.3283, 0.5000, 0.4246)
Ti (0.5000, 0.2557, 0.0000)
Ti (0.5000, 0.7443, 0.0000)
Ti (0.6717, 0.5000, 0.5754)
Ti (0.8283, 0.0000, 0.4246)
Al (0.0000, 0.5000, 0.5000)
Al (0.5000, 0.0000, 0.5000)
Zn (0.2359, 0.5000, 0.8781)
Zn (0.2641, 0.0000, 0.1219)
Zn (0.7359, 0.0000, 0.8781)
Zn (0.7641, 0.5000, 0.1219)